! POsWO2 (GGA+U, relaxed); values from VASP
! Energy above the most stable polymorph in this dataset   459 meV/atom
! Uncorrected energy   -6.390 eV per atom
! DOS(E_F)   0.51 states/eV/atom
! Calculated density   10.97 g/cm³
&SYSTEM
  ibrav = 0, nat = 5, ntyp = 4
/
ATOMIC_SPECIES
P 30.97 P.upf
Os 190.23 Os.upf
W 183.84 W.upf
O 16.00 O.upf
ATOMIC_POSITIONS crystal
P 0.000 0.000 0.000
Os 0.000 0.000 0.500
W 0.500 0.500 0.500
O 0.000 0.500 0.000
O 0.500 0.000 0.000
CELL_PARAMETERS angstrom
3.595 0.000 0.000
0.000 3.595 0.000
0.000 0.000 5.119